No. 1
DFT (GGA-PBE) results for an optimized crystal structure of Bi3Au5Se12.

Cell: 14.0991 14.0991 14.0991 Å, 109.47 109.47 109.47°
Last column: nearest neighbours and their distance in Å.
Sites, in units of the cell vectors:
Bi: 0.7500 0.3750 0.1250  8 Se 3.04-3.15
Bi: 0.8750 0.7500 0.1250  8 Se 3.04-3.15
Bi: 0.3750 0.7500 0.6250  8 Se 3.04-3.15
Bi: 0.2500 0.1250 0.3750  8 Se 3.04-3.15
Bi: 0.8750 0.1250 0.2500  8 Se 3.04-3.15
Bi: 0.3750 0.6250 0.2500  8 Se 3.04-3.15
Bi: 0.6250 0.3750 0.7500  8 Se 3.04-3.15
Bi: 0.1250 0.8750 0.7500  8 Se 3.04-3.15
Bi: 0.7500 0.8750 0.6250  8 Se 3.04-3.15
Bi: 0.6250 0.2500 0.3750  8 Se 3.04-3.15
Bi: 0.1250 0.2500 0.8750  8 Se 3.04-3.15
Bi: 0.2500 0.6250 0.8750  8 Se 3.04-3.15
Au: 0.1250 0.3750 0.2500  4 Se 2.54
Au: 0.0000 0.5000 0.0000  6 Se 2.63
Au: 0.0000 0.0000 0.0000  6 Se 2.63
Au: 0.3750 0.2500 0.1250  4 Se 2.54
Au: 0.5000 0.0000 0.5000  6 Se 2.63
Au: 0.5000 0.5000 0.0000  6 Se 2.63
Au: 0.1250 0.7500 0.3750  4 Se 2.54
Au: 0.7500 0.1250 0.8750  4 Se 2.54
Au: 0.7500 0.6250 0.3750  4 Se 2.54
Au: 0.3750 0.1250 0.7500  4 Se 2.54
Au: 0.6250 0.8750 0.2500  4 Se 2.54
Au: 0.5000 0.5000 0.5000  6 Se 2.63
Au: 0.5000 0.0000 0.0000  6 Se 2.63
Au: 0.0000 0.0000 0.5000  6 Se 2.63
Au: 0.2500 0.3750 0.6250  4 Se 2.54
Au: 0.2500 0.8750 0.1250  4 Se 2.54
Au: 0.0000 0.5000 0.5000  6 Se 2.63
Au: 0.8750 0.2500 0.6250  4 Se 2.54
Au: 0.6250 0.7500 0.8750  4 Se 2.54
Au: 0.8750 0.6250 0.7500  4 Se 2.54
Se: 0.7082 0.1283 0.0379  2 Au 2.54-2.63
Se: 0.3297 0.5379 0.4097  2 Au 2.54-2.63
Se: 0.9621 0.3717 0.2918  2 Au 2.54-2.63
Se: 0.5379 0.2082 0.1283  2 Au 2.54-2.63
Se: 0.5799 0.7082 0.6703  2 Au 2.54-2.63
Se: 0.9621 0.5903 0.1703  2 Au 2.54-2.63
Se: 0.3297 0.7918 0.4201  2 Au 2.54-2.63
Se: 0.0903 0.9201 0.1283  2 Au 2.54-2.63
Se: 0.5903 0.9621 0.6703  2 Au 2.54-2.63
Se: 0.7082 0.5799 0.1703  2 Au 2.54-2.63
Se: 0.7918 0.4621 0.3717  2 Au 2.54-2.63
Se: 0.8297 0.9097 0.0379  2 Au 2.54-2.63
Se: 0.1283 0.7082 0.5379  2 Au 2.54-2.63
Se: 0.3717 0.4097 0.0799  2 Au 2.54-2.63
Se: 0.0799 0.9097 0.3717  2 Au 2.54-2.63
Se: 0.4201 0.1283 0.5903  2 Au 2.54-2.63
Se: 0.0799 0.1703 0.2082  2 Au 2.54-2.63
Se: 0.4621 0.6703 0.0903  2 Au 2.54-2.63
Se: 0.8297 0.9201 0.2918  2 Au 2.54-2.63
Se: 0.1283 0.4201 0.0903  2 Au 2.54-2.63
Se: 0.3717 0.9621 0.7918  2 Au 2.54-2.63
Se: 0.5903 0.6283 0.4201  2 Au 2.54-2.63
Se: 0.9097 0.8297 0.5379  2 Au 2.54-2.63
Se: 0.7918 0.3297 0.9201  2 Au 2.54-2.63
Se: 0.4097 0.3717 0.5799  2 Au 2.54-2.63
Se: 0.0903 0.1703 0.4621  2 Au 2.54-2.63
Se: 0.2082 0.6703 0.0799  2 Au 2.54-2.63
Se: 0.1703 0.0799 0.7082  2 Au 2.54-2.63
Se: 0.6283 0.0379 0.2082  2 Au 2.54-2.63
Se: 0.8717 0.5799 0.9097  2 Au 2.54-2.63
Se: 0.5379 0.3297 0.9097  2 Au 2.54-2.63
Se: 0.5799 0.8717 0.4097  2 Au 2.54-2.63
Se: 0.9201 0.8297 0.7918  2 Au 2.54-2.63
Se: 0.9201 0.0903 0.6283  2 Au 2.54-2.63
Se: 0.8717 0.2918 0.4621  2 Au 2.54-2.63
Se: 0.1703 0.0903 0.9621  2 Au 2.54-2.63
Se: 0.6283 0.5903 0.9201  2 Au 2.54-2.63
Se: 0.4097 0.0379 0.3297  2 Au 2.54-2.63
Se: 0.2918 0.4201 0.8297  2 Au 2.54-2.63
Se: 0.2082 0.5379 0.6283  2 Au 2.54-2.63
Se: 0.9097 0.0799 0.8717  2 Au 2.54-2.63
Se: 0.6703 0.2082 0.5799  2 Au 2.54-2.63
Se: 0.4621 0.7918 0.8717  2 Au 2.54-2.63
Se: 0.0379 0.4097 0.8297  2 Au 2.54-2.63
Se: 0.4201 0.2918 0.3297  2 Au 2.54-2.63
Se: 0.0379 0.6283 0.7082  2 Au 2.54-2.63
Se: 0.6703 0.4621 0.5903  2 Au 2.54-2.63
Se: 0.2918 0.8717 0.9621  2 Au 2.54-2.63

**VASP energy**: -3.48 eV per atom
**Magnetization**: 0.000 μB per atom
**ΔE_f (raw)**: 25.0 kJ/mol of formula units

***

No. 2
DFT (GGA-PBE) results for an optimized crystal structure of Bi2AuSe.

Cell: 3.9763 3.9752 7.9515 Å, 89.97 89.98 59.84°
Last column: nearest neighbours and their distance in Å.
Sites, in units of the cell vectors:
Bi: 0.3405 0.7737 0.6582  3 Au 2.98, 3 Se 3.09-3.10
Bi: 0.0065 0.4395 0.1814  3 Au 2.98, 3 Se 3.10
Au: 0.6736 0.1066 0.4198  6 Bi 2.98
Se: 0.6737 0.1064 0.9198  6 Bi 3.09-3.10

**VASP energy**: -3.69 eV per atom
**Magnetization**: 0.000 μB per atom
**ΔE_f (raw)**: -21.4 kJ/mol of formula units